SmNbCr2O6 | PBE with a Hubbard U | optimized geometry

Cell lengths 5.474, 5.485, 5.777 Å; angles 62.27, 65.49, 61.47 degrees
Space group P1 (No. 1)
Symmetry-distinct sites (fractional):
Sm 0.000 0.000 0.000 (multiplicity 1)
Nb 0.508 0.512 0.469 (multiplicity 1)
Cr 0.223 0.204 0.362 (multiplicity 1)
Cr 0.708 0.713 0.860 (multiplicity 1)
O 0.169 0.790 0.628 (multiplicity 1)
O 0.316 0.574 0.193 (multiplicity 1)
O 0.436 0.132 0.646 (multiplicity 1)
O 0.603 0.883 0.157 (multiplicity 1)
O 0.765 0.437 0.668 (multiplicity 1)
O 0.896 0.336 0.178 (multiplicity 1)

spin magnetization	8.00	μB/cell
volume	130.71	Å³/cell
raw total energy	-8.321	eV per atom